Crystalline PrTmTlRu at its relaxed geometry. Source: Alexandria via LeMat-Bulk, functional PBE.

abc: 7.296 7.296 7.296
angles: 90.00 90.00 90.00
Positions (direct):
Pr (0.000, 0.000, 0.000)
Pr (0.000, 0.500, 0.500)
Pr (0.500, 0.000, 0.500)
Pr (0.500, 0.500, 0.000)
Tm (0.000, 0.000, 0.500)
Tm (0.000, 0.500, 0.000)
Tm (0.500, 0.000, 0.000)
Tm (0.500, 0.500, 0.500)
Tl (0.250, 0.250, 0.750)
Tl (0.250, 0.750, 0.250)
Tl (0.750, 0.250, 0.250)
Tl (0.750, 0.750, 0.750)
Ru (0.250, 0.250, 0.250)
Ru (0.250, 0.750, 0.750)
Ru (0.750, 0.250, 0.750)
Ru (0.750, 0.750, 0.250)

For the volume, the calculation gives 388.38 Å³ per cell. Its space group is F-43m. The value obtained for the total magnetic moment is 0.0 μB per formula unit. The value obtained for the formation energy from the elements is -0.177 eV per atom.